Here is an optimized crystal structure of ZrCuPt2 from the Alexandria database. Energies are from PBE.

energy of formation from the pure elements: -0.347 eV/atom

Cell lengths 9.146, 9.146, 9.146 Å; angles 18.21, 18.21, 18.21 degrees
Sites, in units of the cell vectors:
1 Zr 0.000 0.000 0.000
2 Cu 0.500 0.500 0.500
3 Pt 0.245 0.245 0.245
4 Pt 0.755 0.755 0.755

Here is an optimized crystal structure of Li2PrEu from the Alexandria database. Energies are from PBE.

energy of formation from the pure elements: 0.112 eV/atom
polymorph energy (0 for the lowest one): 0.0 kJ per mole of atoms

Cell lengths 3.869, 3.869, 8.106 Å; angles 90.00, 90.00, 90.00 degrees
Sites, in units of the cell vectors:
1 Li 0.000 0.000 0.237
2 Li 0.000 0.000 0.763
3 Pr 0.500 0.500 0.000
4 Eu 0.500 0.500 0.500

Here is an optimized crystal structure of Be2VCdHg from the Alexandria database. Energies are from PBE.

energy of formation from the pure elements: 1.286 eV/atom

Cell lengths 4.597, 4.597, 5.304 Å; angles 90.00, 90.00, 90.00 degrees
Sites, in units of the cell vectors:
1 Be 0.000 0.500 0.000
2 Be 0.500 0.000 0.000
3 V 0.000 0.000 0.000
4 Cd 0.000 0.000 0.500
5 Hg 0.500 0.500 0.500

Here is an optimized crystal structure of TbEr3Pu3Se8 from the Alexandria database. Energies are from PBE.

formation energy (no corrections): -1.71 eV per atom

Cell lengths 8.190, 8.190, 8.190 Å; angles 59.71, 59.71, 59.71 degrees
Sites, in units of the cell vectors:
1 Tb 0.000 0.000 0.000
2 Er 0.000 0.500 0.500
3 Er 0.500 0.000 0.500
4 Er 0.500 0.500 0.000
5 Pu 0.000 0.000 0.500
6 Pu 0.000 0.500 0.000
7 Pu 0.500 0.000 0.000
8 Se 0.252 0.252 0.252
9 Se 0.252 0.252 0.741
10 Se 0.252 0.741 0.252
11 Se 0.259 0.748 0.748
12 Se 0.741 0.252 0.252
13 Se 0.748 0.259 0.748
14 Se 0.748 0.748 0.259
15 Se 0.748 0.748 0.748

Here is an optimized crystal structure of TaVCr2 from the Alexandria database. Energies are from PBE.

energy of formation from the pure elements: -0.010 eV/atom
polymorph energy (0 for the lowest one): 1.7 kJ per mole of atoms

Cell lengths 4.254, 4.254, 3.033 Å; angles 90.00, 90.00, 90.00 degrees
Sites, in units of the cell vectors:
1 Ta 0.000 0.000 0.000
2 V 0.500 0.500 0.000
3 Cr 0.000 0.500 0.500
4 Cr 0.500 0.000 0.500

Here is an optimized crystal structure of LiCuRh2 from the Alexandria database. Energies are from PBE.

energy of formation from the pure elements: -0.028 eV/atom

Cell lengths 2.723, 4.390, 4.512 Å; angles 90.00, 90.00, 90.00 degrees
Sites, in units of the cell vectors:
1 Li 0.000 0.000 0.000
2 Cu 0.500 0.000 0.500
3 Rh 0.000 0.500 0.500
4 Rh 0.500 0.500 0.000

Here is an optimized crystal structure of Sn2AuBr2 from the Alexandria database. Energies are from PBE.

formation energy (no corrections): -0.30 eV per atom

Cell lengths 7.454, 7.454, 5.140 Å; angles 90.00, 90.00, 90.00 degrees
Sites, in units of the cell vectors:
1 Sn 0.164 0.336 0.000
2 Sn 0.336 0.836 0.000
3 Sn 0.664 0.164 0.000
4 Sn 0.836 0.664 0.000
5 Au 0.000 0.000 0.000
6 Au 0.500 0.500 0.000
7 Br 0.201 0.701 0.500
8 Br 0.299 0.201 0.500
9 Br 0.701 0.799 0.500
10 Br 0.799 0.299 0.500

Here is an optimized crystal structure of Th3SnRu3 from the Alexandria database. Energies are from PBE.

energy of formation from the pure elements: -0.395 eV/atom

Cell lengths 7.310, 7.310, 7.310 Å; angles 72.51, 72.51, 72.51 degrees
Sites, in units of the cell vectors:
1 Th 0.123 0.806 0.375
2 Th 0.194 0.625 0.877
3 Th 0.375 0.123 0.806
4 Th 0.625 0.877 0.194
5 Th 0.806 0.375 0.123
6 Th 0.877 0.194 0.625
7 Sn 0.326 0.326 0.326
8 Sn 0.674 0.674 0.674
9 Ru 0.059 0.448 0.697
10 Ru 0.303 0.941 0.552
11 Ru 0.448 0.697 0.059
12 Ru 0.552 0.303 0.941
13 Ru 0.697 0.059 0.448
14 Ru 0.941 0.552 0.303

Here is an optimized crystal structure of Y4Al23Ni6 from the Alexandria database. Energies are from PBE.

energy of formation from the pure elements: -0.520 eV/atom

Cell lengths 8.209, 8.209, 18.207 Å; angles 112.19, 112.19, 28.84 degrees
Sites, in units of the cell vectors:
1 Y 0.072 0.072 0.406
2 Y 0.234 0.234 0.781
3 Y 0.766 0.766 0.219
4 Y 0.928 0.928 0.594
5 Al 0.032 0.032 0.781
6 Al 0.067 0.067 0.940
7 Al 0.110 0.110 0.162
8 Al 0.122 0.122 0.595
9 Al 0.225 0.225 0.324
10 Al 0.243 0.243 0.953
11 Al 0.299 0.299 0.480
12 Al 0.356 0.356 0.144
13 Al 0.409 0.409 0.720
14 Al 0.410 0.410 0.950
15 Al 0.419 0.419 0.314
16 Al 0.500 0.500 0.500
17 Al 0.581 0.581 0.686
18 Al 0.590 0.590 0.050
19 Al 0.591 0.591 0.280
20 Al 0.644 0.644 0.856
21 Al 0.701 0.701 0.520
22 Al 0.757 0.757 0.047
23 Al 0.775 0.775 0.676
24 Al 0.878 0.878 0.405
25 Al 0.890 0.890 0.838
26 Al 0.933 0.933 0.060
27 Al 0.968 0.968 0.219
28 Ni 0.190 0.190 0.068
29 Ni 0.272 0.272 0.601
30 Ni 0.492 0.492 0.864
31 Ni 0.508 0.508 0.136
32 Ni 0.728 0.728 0.399
33 Ni 0.810 0.810 0.932

Question: Which formula does entry 4 have?
Answer: TbEr3Pu3Se8